Zn2PRh2: relaxed, PBE.

ΔE to the lowest computed polymorph   0.3596 eV/atom
Magnetization   0.00 μB per formula unit
Space group   I4/mmm, No. 139

Cell lengths 7.2300, 7.2300, 7.2300 Å; angles 153.99, 153.99, 37.12 degrees
Last column: nearest neighbours and their distance in Å.
Atoms (fractional coordinates):
Zn (0.2500, 0.7500, 0.5000)  4 Zn 2.30
Zn (0.7500, 0.2500, 0.5000)  4 Zn 2.30
P (0.0000, 0.0000, 0.0000)  8 Rh 2.64
Rh (0.4052, 0.4052, 0.0000)  1 Rh 2.60, 4 P 2.64, 4 Zn 2.68
Rh (0.5948, 0.5948, 0.0000)  1 Rh 2.60, 4 P 2.64, 4 Zn 2.68

=====

Pm4DyTm6: relaxed, PBE.

ΔE to the lowest computed polymorph   0.0000 eV/atom
Magnetization   0.00 μB per formula unit
Space group   I-42m, No. 121

Cell lengths 9.6500, 9.6500, 9.6500 Å; angles 140.00, 140.00, 57.85 degrees
Last column: nearest neighbours and their distance in Å.
Atoms (fractional coordinates):
Pm (0.1358, 0.1358, 0.6220)  5 Tm 3.37-3.58, 1 Dy 3.45, 1 Pm 3.53
Pm (0.4862, 0.8642, 0.0000)  5 Tm 3.37-3.58, 1 Dy 3.45, 1 Pm 3.53
Pm (0.5138, 0.5138, 0.3780)  5 Tm 3.37-3.58, 1 Dy 3.45, 1 Pm 3.53
Pm (0.8642, 0.4862, 0.0000)  5 Tm 3.37-3.58, 1 Dy 3.45, 1 Pm 3.53
Dy (0.5000, 0.5000, 0.0000)  8 Tm 3.30-3.67, 4 Pm 3.45
Tm (0.0000, 0.5000, 0.5000)  4 Tm 3.22, 2 Dy 3.30
Tm (0.0529, 0.6963, 0.0000)  3 Tm 3.22-3.33, 5 Pm 3.37-3.58
Tm (0.3037, 0.3037, 0.3566)  3 Tm 3.22-3.33, 5 Pm 3.37-3.58
Tm (0.5000, 0.0000, 0.5000)  4 Tm 3.22, 2 Dy 3.30
Tm (0.6963, 0.0529, 0.0000)  3 Tm 3.22-3.33, 5 Pm 3.37-3.58
Tm (0.9471, 0.9471, 0.6434)  3 Tm 3.22-3.33, 5 Pm 3.37-3.58

=====

Pr2NdCl8: relaxed, PBE.

Magnetization   1.06 μB per formula unit
Formation energy (no corrections)   -2.062 eV per atom
Space group   C2/m, No. 12

Cell lengths 7.6195, 7.6195, 5.4838 Å; angles 100.02, 100.02, 111.46 degrees
Last column: nearest neighbours and their distance in Å.
Atoms (fractional coordinates):
Pr (0.1839, 0.8161, 0.0000)  8 Cl 2.86-2.94
Pr (0.8161, 0.1839, 0.0000)  8 Cl 2.86-2.94
Nd (0.5000, 0.5000, 0.5000)  4 Cl 2.91-2.96
Cl (0.1377, 0.1377, 0.3258)  2 Pr 2.94, 1 Nd 2.96
Cl (0.1796, 0.4333, 0.9276)  2 Pr 2.86-2.87, 2 Cl 3.17-3.19
Cl (0.2691, 0.7309, 0.5000)  1 Nd 2.91, 2 Pr 2.94
Cl (0.4333, 0.1796, 0.9276)  2 Pr 2.86-2.87, 2 Cl 3.17-3.19
Cl (0.5667, 0.8204, 0.0724)  2 Pr 2.86-2.87, 2 Cl 3.17-3.19
Cl (0.7309, 0.2691, 0.5000)  1 Nd 2.91, 2 Pr 2.94
Cl (0.8204, 0.5667, 0.0724)  2 Pr 2.86-2.87, 2 Cl 3.17-3.19
Cl (0.8623, 0.8623, 0.6742)  2 Pr 2.94, 1 Nd 2.96

=====

MoRuAu2: relaxed, PBE.

ΔE to the lowest computed polymorph   0.0006 eV/atom
Magnetization   0.00 μB per formula unit
Space group   R3m, No. 160

Cell lengths 9.7762, 9.7762, 9.7762 Å; angles 16.54, 16.54, 16.54 degrees
Last column: nearest neighbours and their distance in Å.
Atoms (fractional coordinates):
Mo (0.0000, 0.0000, 0.0000)  3 Ru 2.63, 6 Mo 2.81
Ru (0.2617, 0.2617, 0.2617)  3 Mo 2.63, 6 Ru 2.81
Au (0.5093, 0.5093, 0.5093)  9 Au 2.81-3.08, 3 Ru 2.96
Au (0.7522, 0.7522, 0.7522)  9 Au 2.81-3.08, 3 Mo 2.96

=====

KCuAs3: relaxed, PBE.

ΔE to the lowest computed polymorph   1.5993 eV/atom
Magnetization   0.93 μB per formula unit
Space group   Pm-3m, No. 221

Cell lengths 5.4585, 5.4585, 5.4585 Å; angles 90.00, 90.00, 90.00 degrees
Last column: nearest neighbours and their distance in Å.
Atoms (fractional coordinates):
K (0.0000, 0.0000, 0.0000)  6 As 2.73
Cu (0.5000, 0.5000, 0.5000)  12 As 3.86
As (0.0000, 0.0000, 0.5000)  2 K 2.73
As (0.0000, 0.5000, 0.0000)  2 K 2.73
As (0.5000, 0.0000, 0.0000)  2 K 2.73

=====

AcNdTm2Se4: relaxed, PBE.

Magnetization   0.00 μB per formula unit
Formation energy (no corrections)   -1.755 eV per atom
Space group   P2/m, No. 10

Cell lengths 7.0633, 4.0650, 7.6029 Å; angles 90.00, 107.97, 90.00 degrees
Last column: nearest neighbours and their distance in Å.
Atoms (fractional coordinates):
Ac (0.0000, 0.0000, 0.0000)  6 Se 3.11-3.12
Nd (0.5000, 0.5000, 0.0000)  6 Se 3.08
Tm (0.0000, 0.5000, 0.5000)  6 Se 2.86-2.87
Tm (0.5000, 0.0000, 0.5000)  6 Se 2.82-2.83
Se (0.2456, 0.0000, 0.7232)  3 Tm 2.83-2.86, 2 Nd 3.08, 1 Ac 3.11
Se (0.2655, 0.5000, 0.2811)  3 Tm 2.82-2.87, 1 Nd 3.08, 2 Ac 3.12
Se (0.7345, 0.5000, 0.7189)  3 Tm 2.82-2.87, 1 Nd 3.08, 2 Ac 3.12
Se (0.7544, 0.0000, 0.2768)  3 Tm 2.83-2.86, 2 Nd 3.08, 1 Ac 3.11

=====

LiHgO2: relaxed, PBE.

Magnetization   0.00 μB per formula unit
Formation energy (no corrections)   -0.546 eV per atom
Space group   R-3m, No. 166

Cell lengths 6.3449, 6.3449, 6.3449 Å; angles 28.77, 28.77, 28.77 degrees
Last column: nearest neighbours and their distance in Å.
Atoms (fractional coordinates):
Li (0.0000, 0.0000, 0.0000)  6 O 2.11
Hg (0.5000, 0.5000, 0.5000)  2 O 1.97
O (0.3921, 0.3921, 0.3921)  1 Hg 1.97, 3 Li 2.11
O (0.6079, 0.6079, 0.6079)  1 Hg 1.97, 3 Li 2.11

=====

BAsC2: relaxed, PBE.

ΔE to the lowest computed polymorph   0.1998 eV/atom
Magnetization   0.00 μB per formula unit
Space group   Cm, No. 8

Cell lengths 3.9072, 3.9072, 5.2978 Å; angles 103.44, 103.44, 43.24 degrees
Last column: nearest neighbours and their distance in Å.
Atoms (fractional coordinates):
B (0.0000, 0.0000, 0.0000)  3 C 1.59-1.62
As (0.3207, 0.3207, 0.6514)  3 C 2.00-2.24
C (0.5916, 0.5916, 0.9650)  1 C 1.48, 2 B 1.62
C (0.7748, 0.7748, 0.8911)  1 C 1.48, 1 B 1.59